Density functional theory data (PBE) for a geometry-optimized Li2Sb2Pt structure.

Summary:
Excess energy over the best structure of this formula in the dataset ... 0 meV per atom
Energy relative to the elements, uncorrected ... -0.461 eV/atom
SG ... P4/mbm (127)
DFT total energy ... -4.084 eV per atom

Geometry as extended XYZ:
```
10
Lattice="6.913 0.000 0.000 0.000 6.913 0.000 0.000 0.000 4.545" Properties=species:S:1:pos:R:3 pbc="T T T"
Li 1.128 4.584 2.273
Li 2.329 1.128 2.273
Li 5.785 2.329 2.273
Li 4.584 5.785 2.273
Sb 2.438 5.895 0.000
Sb 5.895 4.474 0.000
Sb 4.474 1.018 0.000
Sb 1.018 2.438 0.000
Pt 3.456 3.456 0.000
Pt 0.000 0.000 0.000
```